# TaTi3Rh

A geometry-optimized TaTi3Rh structure (GGA-PBE, Alexandria).

The structure belongs to space group P-1 (No. 2); the cell edges are 3.0936, 6.6667 and 8.2396 Å and the angles 77.95°, 79.26° and 89.98°. The asymmetric unit holds Ta at (0.1009, 0.0499, 0.2985), Ti at (0.3002, 0.1628, 0.8998), Ti at (0.3057, 0.6347, 0.8880), Ti at (0.4993, 0.2618, 0.5009) and Rh at (0.0993, 0.5531, 0.3015).

For the density of states at the Fermi level, the calculation gives 6.3 states/eV/f.u. As for the density: 8.702 g cm⁻³. The calculation puts the spin magnetization at 0.00 μB per formula unit. Its formation energy is -336 meV per atom.



# LuAlFeNi

A geometry-optimized LuAlFeNi structure (GGA-PBE, Alexandria).

The structure belongs to space group F-43m (No. 216); the cell edges are 6.1595, 6.1595 and 6.1595 Å and the angles 90.00°, 90.00° and 90.00°. The asymmetric unit holds Lu at (0.0000, 0.0000, 0.0000), Al at (0.0000, 0.0000, 0.5000), Fe at (0.2500, 0.2500, 0.2500) and Ni at (0.2500, 0.2500, 0.7500).

For the density of states at the Fermi level, the calculation gives 3.3 states/eV/f.u. As for the density: 8.995 g cm⁻³. The calculation puts the spin magnetization at 0.00 μB per formula unit. Its formation energy is -290 meV per atom.



# Cu3TcBi

A geometry-optimized Cu3TcBi structure (GGA-PBE, Alexandria).

The structure belongs to space group Pm-3m (No. 221); the cell edges are 4.6631, 4.6631 and 4.6631 Å and the angles 90.00°, 90.00° and 90.00°. The asymmetric unit holds Cu at (0.0000, 0.0000, 0.5000), Tc at (0.0000, 0.0000, 0.0000) and Bi at (0.5000, 0.5000, 0.5000).

For the density of states at the Fermi level, the calculation gives 4.0 states/eV/f.u. As for the density: 8.149 g cm⁻³. The calculation puts the spin magnetization at 0.00 μB per formula unit. Its formation energy is 1118 meV per atom.



# Be2Ge2H

A geometry-optimized Be2Ge2H structure (GGA-PBE, Alexandria).

The structure belongs to space group P4/mbm (No. 127); the cell edges are 6.4722, 6.4722 and 3.0966 Å and the angles 90.00°, 90.00° and 90.00°. The asymmetric unit holds Be at (0.1110, 0.3890, 0.0000), Ge at (0.1961, 0.6961, 0.5000) and H at (0.0000, 0.0000, 0.5000).

For the density of states at the Fermi level, the calculation gives 1.7 states/eV/f.u. As for the density: 4.207 g cm⁻³. The calculation puts the spin magnetization at 0.00 μB per formula unit. The calculation puts the total energy at -3.373 eV/atom.



# Ba2BiBr6

A geometry-optimized Ba2BiBr6 structure (GGA-PBE, Alexandria).

The structure belongs to space group P4_2/mnm (No. 136); the cell edges are 7.6965, 7.6965 and 14.2141 Å and the angles 90.00°, 90.00° and 90.00°. The asymmetric unit holds Ba at (0.0000, 0.0000, 0.1669), Bi at (0.0000, 0.0000, 0.5000), Br at (0.1868, 0.1868, 0.0000) and Br at (0.1866, 0.1866, 0.3495).

As for the density: 3.799 g cm⁻³. The calculation puts the spin magnetization at 1.01 μB per formula unit. As for the uncorrected formation energy: -1.52 eV per atom.



# NaCoMo2

A geometry-optimized NaCoMo2 structure (GGA-PBE, Alexandria).

The structure belongs to space group I-42d (No. 122); the cell edges are 7.1692, 7.1692 and 5.1646 Å and the angles 90.00°, 90.00° and 90.00°. The asymmetric unit holds Na at (0.0000, 0.0000, 0.0000), Co at (0.0000, 0.0000, 0.5000) and Mo at (0.1952, 0.2500, 0.6250).

For the density of states at the Fermi level, the calculation gives 1.1 states/eV/f.u. As for the density: 6.851 g cm⁻³. The calculation puts the spin magnetization at 0.00 μB per formula unit. Its formation energy is 1050 meV per atom.